Here is an optimized crystal structure of Ac3Yb from Alexandria. Energies are from GGA-PBE.

## Properties
E_tot, Ry per atom: -0.2515
Total magnetization, Bohr magnetons per cell: 0.000
Formation energy, eV/atom: 0.0406

Cell: 7.9678 7.9678 6.3755 Å, 90.00 90.00 120.00°
Space group P6_3/mmc (No. 194)
One atom of each set of equivalent atoms:
Ac  0.1669  0.3338  0.2500 x6
Yb  0.3333  0.6667  0.7500 x2